[1]
Compound: RbAgSnSe3
Source: OQMD
Functional: PBE-GGA
Structure: optimized geometry

Structure (POSCAR):
```
RbAgSnSe3
1.0
0.6665 5.6619 -5.5453
-2.9394 -6.9578 2.4902
-8.7301 5.2201 4.2806
Se Rb Ag Sn
6 2 2 2
direct
0.0544 0.9456 0.2500
0.6243 0.3757 0.5300
0.3757 0.6243 0.0300
0.6243 0.3757 0.9700
0.3757 0.6243 0.4700
0.9456 0.0544 0.7500
0.7409 0.2591 0.2500
0.2591 0.7409 0.7500
0.5622 0.4378 0.7500
0.4378 0.5622 0.2500
0.0000 0.0000 0.5000
0.0000 0.0000 0.0000
```

Space-group type   Cmcm (63)
Calculated volume   28.463 Å³ per atom
DFT total energy   -3.53 eV/atom



[2]
Compound: RbAgSnSe3
Source: OQMD
Functional: PBE-GGA
Structure: optimized geometry

Structure (POSCAR):
```
RbAgSnSe3
1.0
11.6968 0.0000 0.0000
0.0000 4.4020 0.0000
0.0000 0.0000 13.2754
Se Rb Ag Sn
12 4 4 4
direct
0.2158 0.0000 0.9563
0.7747 0.0000 0.8200
0.2253 0.5000 0.1800
0.7842 0.5000 0.0437
0.5196 0.5000 0.8826
0.9804 0.5000 0.3826
0.2842 0.0000 0.4563
0.2747 0.5000 0.6800
0.0196 0.0000 0.6174
0.7158 0.5000 0.5437
0.4804 0.0000 0.1174
0.7253 0.0000 0.3200
0.4980 0.5000 0.3422
0.0020 0.5000 0.8422
0.9980 0.0000 0.1578
0.5020 0.0000 0.6578
0.7225 0.5000 0.7352
0.2225 0.0000 0.7648
0.2775 0.0000 0.2648
0.7775 0.5000 0.2352
0.8503 0.0000 0.4836
0.3503 0.5000 0.0164
0.1497 0.5000 0.5164
0.6497 0.0000 0.9836
```

Space-group type   Pnma (62)
Calculated volume   28.481 Å³ per atom
DFT total energy   -3.56 eV/atom



[3]
Compound: Rb2TaAgSe6
Source: OQMD
Functional: PBE-GGA
Structure: optimized geometry

Structure (POSCAR):
```
Rb2TaAgSe6
1.0
-5.8126 -0.5864 -5.8516
-5.0790 -6.1685 -2.1269
-8.2195 -0.7782 0.4525
Se Ag Rb Ta
6 1 2 1
direct
0.7233 0.2446 0.2448
0.2767 0.7554 0.7552
0.7554 0.7552 0.2767
0.7552 0.2767 0.7554
0.2448 0.7233 0.2446
0.2446 0.2448 0.7233
0.5000 0.5000 0.5000
0.2200 0.2200 0.2200
0.7800 0.7800 0.7800
0.0000 0.0000 0.0000
```

Space-group type   R-3m (166)
Calculated volume   28.780 Å³ per atom
DFT total energy   -4.20 eV/atom



Density (computed, kg/m³): 5337, 5334, 5386